Te2PbICl after structural relaxation, computed with PBE.

```
5
Lattice="5.579 0.000 0.000 0.000 5.579 0.000 0.000 0.000 5.535" Properties=species:S:1:pos:R:3 pbc="T T T"
Te 0.000 2.790 0.000
Te 2.790 0.000 0.000
Pb 0.000 0.000 2.768
I 2.790 2.790 2.768
Cl 2.790 2.790 0.000
```

Computed properties:
The value obtained for the distance to the lowest polymorph of the same formula is 0.000 eV/atom. As for the uncorrected formation energy: 0.366 eV/atom. As for the total magnetization: 0.000 μB/cell. As for the calculated volume: 34.46 A^3/atom.